# 1
Material: V2F7
Method: DFT, PBEsol
State: optimized geometry

Unit cell a=7.252 b=10.558 c=6.764 alpha=90.00 beta=90.00 gamma=90.00
Space group Imma (No. 74)
One atom of each set of equivalent atoms:
V  0.000  0.000  0.000 (multiplicity 4)
V  0.250  0.250  0.250 (multiplicity 4)
F  0.000  0.051  0.753 (multiplicity 8)
F  0.000  0.250  0.337 (multiplicity 4)
F  0.187  0.122  0.062 (multiplicity 16)

Results
Electronic total energy   -233.121 eV for the cell shown
Theoretical density   3.01 g/cm³
Crystal system   orthorhombic
Uncorrected formation energy   -25.52 eV per formula unit


# 2
Material: SrCrAg2
Method: DFT, PBEsol
State: optimized geometry

Unit cell a=3.510 b=3.510 c=7.024 alpha=90.00 beta=90.00 gamma=90.00
Space group P4/mmm (No. 123)
One atom of each set of equivalent atoms:
Sr  0.000  0.000  0.000 (multiplicity 1)
Cr  0.000  0.000  0.500 (multiplicity 1)
Ag  0.500  0.500  0.303 (multiplicity 2)

Results
Electronic total energy   -17.450 eV for the cell shown
Formation energy from the elements   0.314 eV/atom
Theoretical density   6.82 g/cm³
Crystal system   tetragonal


# 3
Material: NaGe2Pd2
Method: DFT, PBEsol
State: optimized geometry

Unit cell a=7.547 b=7.547 c=2.896 alpha=90.00 beta=90.00 gamma=90.00
Space group P4/mbm (No. 127)
One atom of each set of equivalent atoms:
Na  0.000  0.000  0.000 (multiplicity 2)
Ge  0.156  0.344  0.500 (multiplicity 4)
Pd  0.138  0.638  0.000 (multiplicity 4)

Results
Electronic total energy   -49.848 eV for the cell shown
Formation energy from the elements   -0.346 eV/atom
Theoretical density   7.67 g/cm³
Crystal system   tetragonal


# 4
Material: HfZrCu2Cl
Method: DFT, PBEsol
State: optimized geometry

Unit cell a=4.779 b=4.779 c=5.207 alpha=90.00 beta=90.00 gamma=90.00
Space group P4/mmm (No. 123)
One atom of each set of equivalent atoms:
Hf  0.000  0.000  0.000 (multiplicity 1)
Zr  0.000  0.000  0.500 (multiplicity 1)
Cu  0.000  0.500  0.500 (multiplicity 2)
Cl  0.500  0.500  0.000 (multiplicity 1)

Results
Electronic total energy   -23.852 eV for the cell shown
Theoretical density   6.04 g/cm³
Crystal system   tetragonal
Uncorrected formation energy   6.42 eV per formula unit


Question: electronic total energy of number 4 (HfZrCu2Cl)?
Answer: -23.852 eV for the cell shown


Question: The lowest electronic total energy belongs to which entry?
Answer: V2F7


Question: Which value of theoretical density does entry 2 give?
Answer: 6.82 g/cm³